No. 1
First-principles (GGA-PBE) data for a relaxed structure of YPa2Se5, as listed in Alexandria via LeMat-Bulk.

a = 7.6270 Å, b = 7.6270 Å, c = 8.5877 Å
α = 116.36°, β = 116.36°, γ = 90.00°
Last column: nearest neighbours and their distance in Å.
Element x y z (fractional)
Se 0.5000 0.5000 0.0000  4 Pa 2.91
Se 0.9881 0.4881 0.2957  3 Pa 2.86-3.07, 2 Y 3.18
Se 0.5119 0.6924 0.7043  3 Pa 2.86-3.07, 2 Y 3.18
Se 0.4881 0.3076 0.2957  3 Pa 2.86-3.07, 2 Y 3.18
Se 0.8076 0.9881 0.2957  3 Pa 2.86-3.07, 2 Y 3.18
Se 0.0119 0.5119 0.7043  3 Pa 2.86-3.07, 2 Y 3.18
Se 0.6924 0.1924 0.7043  3 Pa 2.86-3.07, 2 Y 3.18
Se 0.0000 0.0000 0.0000  4 Pa 2.91
Se 0.3076 0.8076 0.2957  3 Pa 2.86-3.07, 2 Y 3.18
Se 0.1924 0.0119 0.7043  3 Pa 2.86-3.07, 2 Y 3.18
Pa 0.8519 0.6481 0.0000  8 Se 2.86-3.07, 1 Pa 3.19
Pa 0.1481 0.3519 0.0000  8 Se 2.86-3.07, 1 Pa 3.19
Pa 0.3519 0.8519 0.0000  8 Se 2.86-3.07, 1 Pa 3.19
Pa 0.6481 0.1481 0.0000  8 Se 2.86-3.07, 1 Pa 3.19
Y 0.7500 0.7500 0.5000  10 Se 3.18-3.34
Y 0.2500 0.2500 0.5000  10 Se 3.18-3.34

Computed properties:
- total DFT energy (no corrections) (eV/cell) = -108.5
- ΔE to the lowest computed polymorph (eV/f.u.) = 0.32
- energy relative to the elements, uncorrected (eV/atom) = -1.42

***

No. 2
First-principles (GGA-PBE) data for a relaxed structure of YPa6Se12, as listed in Alexandria via LeMat-Bulk.

a = 8.2976 Å, b = 8.2976 Å, c = 8.2976 Å
α = 100.28°, β = 100.28°, γ = 100.28°
Last column: nearest neighbours and their distance in Å.
Element x y z (fractional)
Se 0.1768 0.4221 0.5653  4 Pa 2.90-3.00
Se 0.0668 0.9581 0.3289  1 Y 2.78, 2 Pa 2.85-2.89
Se 0.6711 0.9332 0.0419  1 Y 2.78, 2 Pa 2.85-2.89
Se 0.3289 0.0668 0.9581  1 Y 2.78, 2 Pa 2.85-2.89
Se 0.4221 0.5653 0.1768  4 Pa 2.90-3.00
Se 0.5653 0.1768 0.4221  4 Pa 2.90-3.00
Se 0.8232 0.5779 0.4347  4 Pa 2.90-3.00
Se 0.0419 0.6711 0.9332  1 Y 2.78, 2 Pa 2.85-2.89
Se 0.4347 0.8232 0.5779  4 Pa 2.90-3.00
Se 0.9332 0.0419 0.6711  1 Y 2.78, 2 Pa 2.85-2.89
Se 0.9581 0.3289 0.0668  1 Y 2.78, 2 Pa 2.85-2.89
Se 0.5779 0.4347 0.8232  4 Pa 2.90-3.00
Pa 0.8652 0.3686 0.6902  7 Se 2.85-3.17
Pa 0.3686 0.6902 0.8652  7 Se 2.85-3.17
Pa 0.1348 0.6314 0.3098  7 Se 2.85-3.17
Pa 0.6314 0.3098 0.1348  7 Se 2.85-3.17
Pa 0.6902 0.8652 0.3686  7 Se 2.85-3.17
Pa 0.3098 0.1348 0.6314  7 Se 2.85-3.17
Y 0.0000 0.0000 0.0000  6 Se 2.78

Computed properties:
- total DFT energy (no corrections) (eV/cell) = -130.4
- energy relative to the elements, uncorrected (eV/atom) = -1.32

***

No. 3
First-principles (GGA-PBE) data for a relaxed structure of YPaSe2, as listed in Alexandria via LeMat-Bulk.

a = 3.7955 Å, b = 3.7955 Å, c = 7.9820 Å
α = 76.25°, β = 76.25°, γ = 60.00°
Last column: nearest neighbours and their distance in Å.
Element x y z (fractional)
Y 0.4980 0.4980 0.5060  6 Se 2.86-2.92
Pa 0.6685 0.6685 0.9946  6 Se 2.91-2.96
Se 0.2486 0.2486 0.2541  3 Y 2.92, 3 Pa 2.96
Se 0.0849 0.0849 0.7453  3 Y 2.86, 3 Pa 2.91

Computed properties:
- total DFT energy (no corrections) (eV/cell) = -28.6
- ΔE to the lowest computed polymorph (eV/f.u.) = 0.31
- energy relative to the elements, uncorrected (eV/atom) = -1.41

***

No. 4
First-principles (GGA-PBE) data for a relaxed structure of Y5Pa2Se12, as listed in Alexandria via LeMat-Bulk.

a = 7.6862 Å, b = 8.8743 Å, c = 9.3005 Å
α = 105.34°, β = 90.00°, γ = 115.66°
Last column: nearest neighbours and their distance in Å.
Element x y z (fractional)
Se 0.9849 0.9697 0.1950  2 Pa 2.76, 1 Y 2.78
Se 0.5511 0.6410 0.9010  1 Pa 2.75, 2 Y 2.92-2.98
Se 0.1045 0.7055 0.4391  4 Y 2.94-2.98
Se 0.4995 0.9990 0.7675  2 Pa 2.83, 1 Y 2.88
Se 0.6010 0.7055 0.4391  4 Y 2.94-2.98
Se 0.4489 0.3590 0.0990  1 Pa 2.75, 2 Y 2.92-2.98
Se 0.0151 0.0303 0.8050  2 Pa 2.76, 1 Y 2.78
Se 0.5005 0.0010 0.2325  2 Pa 2.83, 1 Y 2.88
Se 0.9101 0.3590 0.0990  1 Pa 2.75, 2 Y 2.92-2.98
Se 0.0899 0.6410 0.9010  1 Pa 2.75, 2 Y 2.92-2.98
Se 0.8955 0.2945 0.5609  4 Y 2.94-2.98
Se 0.3990 0.2945 0.5609  4 Y 2.94-2.98
Y 0.2921 0.5842 0.6336  7 Se 2.94-3.18
Y 0.6860 0.3719 0.8182  7 Se 2.88-3.18
Y 0.3140 0.6281 0.1818  7 Se 2.88-3.18
Y 0.7079 0.4158 0.3664  7 Se 2.94-3.18
Y 0.0000 0.0000 0.5000  6 Se 2.78-2.97
Pa 0.7387 0.0000 0.0000  6 Se 2.75-2.83
Pa 0.2613 0.0000 0.0000  6 Se 2.75-2.83

Computed properties:
- total DFT energy (no corrections) (eV/cell) = -123.9
- energy relative to the elements, uncorrected (eV/atom) = -1.62